No. 1
Computed, not measured: Th2Mg2SiPt4 after structural relaxation at the PBE level of DFT.

a b c (Å): 6.241 6.241 6.241
angles (deg): 100.48 114.15 114.15
Fractional coordinates of all 9 atoms:
Pt 0.501 0.251 0.251
Mg 0.000 0.672 0.672
Pt 0.499 0.749 0.749
Pt 0.000 0.749 0.251
Pt 0.000 0.251 0.749
Th 0.500 0.250 0.750
Si 0.000 0.000 0.000
Mg 0.000 0.328 0.328
Th 0.500 0.750 0.250

## Properties
* formation energy (no corrections): -7.42 eV/f.u.
* crystal system: tetragonal
* E: -6.1151 eV/atom

No. 2
Computed, not measured: Ho2SiC after structural relaxation at the PBE level of DFT.

a b c (Å): 4.423 4.423 7.756
angles (deg): 73.43 73.43 60.00
Each line ends with the local moment (μB).
Fractional coordinates of all 4 atoms:
C 0.000 0.000 0.000  0.71
Ho 0.104 0.104 0.689  0.17
Ho 0.896 0.896 0.311  0.17
Si 0.500 0.500 0.500  0.04

## Properties
* formation energy (no corrections): 2.96 eV/f.u.
* crystal system: trigonal
* E: -5.2101 eV/atom

No. 3
Computed, not measured: WN after structural relaxation at the PBE level of DFT.

a b c (Å): 2.859 2.859 5.812
angles (deg): 90.00 90.00 120.00
Fractional coordinates of all 4 atoms:
N 0.667 0.333 0.250
W 0.000 0.000 0.000
W 0.000 0.000 0.500
N 0.333 0.667 0.750

## Properties
* formation energy (no corrections): -0.36 eV/f.u.
* crystal system: hexagonal
* E: -10.8204 eV/atom

No. 4
Computed, not measured: Sm6Sb5Se after structural relaxation at the PBE level of DFT.

a b c (Å): 7.668 7.672 7.665
angles (deg): 59.97 80.40 70.53
Fractional coordinates of all 12 atoms:
Sm 0.754 0.082 0.328
Sb 0.500 0.169 0.662
Sm 0.246 0.918 0.672
Se 0.000 0.000 0.000
Sm 0.750 0.755 0.000
Sb 0.000 0.334 0.332
Sb 0.500 0.500 0.000
Sm 0.754 0.410 0.672
Sb 0.500 0.831 0.338
Sm 0.250 0.245 0.000
Sm 0.246 0.590 0.328
Sb 0.000 0.666 0.668

## Properties
* formation energy (no corrections): -15.58 eV/f.u.
* crystal system: monoclinic
* E: -5.6657 eV/atom

No. 5
Computed, not measured: BaWAu2 after structural relaxation at the PBE level of DFT.

a b c (Å): 5.101 5.101 5.101
angles (deg): 60.00 60.00 60.00
Each line ends with the local moment (μB).
Fractional coordinates of all 4 atoms:
Au 0.250 0.250 0.250  0.00
W 0.750 0.750 0.750  2.28
Au 0.000 0.000 0.000  0.09
Ba 0.500 0.500 0.500  0.09

## Properties
* crystal system: cubic
* E: -4.4000 eV/atom
* relative energy among the computed polymorphs: 731 meV per atom
* energy of formation: 370 kJ/mol of formula units

No. 6
Computed, not measured: Sm3ReN5 after structural relaxation at the PBE level of DFT.

a b c (Å): 6.713 6.713 7.457
angles (deg): 116.75 116.75 90.00
Fractional coordinates of all 18 atoms:
Sm 0.673 0.173 0.000
Re 0.250 0.750 0.500
Sm 0.173 0.327 0.000
Sm 0.250 0.250 0.500
N 0.500 0.500 0.000
N 0.000 0.000 0.000
N 0.002 0.502 0.703
N 0.799 0.998 0.297
Sm 0.327 0.827 0.000
N 0.498 0.299 0.297
N 0.201 0.002 0.703
N 0.998 0.498 0.297
N 0.502 0.701 0.703
N 0.299 0.799 0.297
N 0.701 0.201 0.703
Re 0.750 0.250 0.500
Sm 0.827 0.673 0.000
Sm 0.750 0.750 0.500

## Properties
* formation energy (no corrections): -9.10 eV/f.u.
* crystal system: tetragonal
* E: -8.5925 eV/atom

No. 7
Computed, not measured: HfCuSe2Br after structural relaxation at the PBE level of DFT.

a b c (Å): 5.152 5.152 5.226
angles (deg): 90.00 90.00 90.00
Fractional coordinates of all 5 atoms:
Se 0.500 0.000 0.000
Cu 0.500 0.500 0.500
Se 0.000 0.500 0.000
Br 0.000 0.000 0.500
Hf 0.000 0.000 0.000

## Properties
* formation energy (no corrections): -1.10 eV/f.u.
* crystal system: tetragonal
* E: -4.7580 eV/atom
* relative energy among the computed polymorphs: 0 meV per atom

No. 8
Computed, not measured: LiTlRu2 after structural relaxation at the PBE level of DFT.

a b c (Å): 4.821 4.821 4.840
angles (deg): 80.95 80.95 34.85
Fractional coordinates of all 4 atoms:
Li 0.250 0.250 0.250
Ru 0.000 0.000 0.031
Ru 0.500 0.500 0.469
Tl 0.750 0.750 0.750

## Properties
* crystal system: monoclinic
* E: -5.3307 eV/atom
* relative energy among the computed polymorphs: 147 meV per atom
* energy of formation: 146 kJ/mol of formula units

No. 9
Computed, not measured: KCd2Se after structural relaxation at the PBE level of DFT.

a b c (Å): 4.193 4.185 6.498
angles (deg): 90.00 90.00 90.00
Fractional coordinates of all 4 atoms:
Cd 0.000 0.000 0.971
K 0.500 0.500 0.250
Se 0.500 0.500 0.750
Cd 0.000 0.000 0.529

## Properties
* formation energy (no corrections): -0.75 eV/f.u.
* crystal system: tetragonal
* E: -1.7912 eV/atom

No. 10
Computed, not measured: Sc2OsO after structural relaxation at the PBE level of DFT.

a b c (Å): 6.078 6.078 5.640
angles (deg): 57.39 57.39 90.00
Fractional coordinates of all 8 atoms:
Sc 0.375 0.451 0.750
Sc 0.201 0.625 0.250
Os 0.000 0.000 0.000
O 0.250 0.750 0.500
Os 0.750 0.250 0.500
Sc 0.875 0.799 0.750
Sc 0.549 0.125 0.250
O 0.500 0.500 0.000

## Properties
* formation energy (no corrections): -4.70 eV/f.u.
* crystal system: tetragonal
* E: -8.3868 eV/atom

No. 11
Computed, not measured: Ac4MgTc after structural relaxation at the PBE level of DFT.

a b c (Å): 6.712 8.575 8.575
angles (deg): 110.38 100.86 100.86
Fractional coordinates of all 12 atoms:
Tc 0.750 0.000 0.000
Ac 0.054 0.943 0.272
Ac 0.629 0.198 0.360
Ac 0.446 0.728 0.057
Ac 0.129 0.360 0.198
Ac 0.871 0.640 0.802
Mg 0.750 0.621 0.379
Ac 0.946 0.057 0.728
Tc 0.250 0.000 0.000
Mg 0.250 0.379 0.621
Ac 0.554 0.272 0.943
Ac 0.371 0.802 0.640

## Properties
* crystal system: monoclinic
* E: -4.7043 eV/atom
* energy of formation: 16 kJ/mol of formula units

No. 12
Computed, not measured: Nd2GaBr after structural relaxation at the PBE level of DFT.

a b c (Å): 4.312 4.312 7.611
angles (deg): 73.54 73.54 60.00
Fractional coordinates of all 4 atoms:
Nd 0.743 0.743 0.772
Nd 0.257 0.257 0.228
Br 0.500 0.500 0.500
Ga 0.000 0.000 0.000

## Properties
* formation energy (no corrections): -3.59 eV/f.u.
* crystal system: trigonal
* E: -4.4576 eV/atom
* relative energy among the computed polymorphs: 13 meV per atom

No. 13
Computed, not measured: Pu3Mg2Bi4 after structural relaxation at the PBE level of DFT.

a b c (Å): 4.797 7.331 8.330
angles (deg): 109.96 106.73 90.00
Each line ends with the local moment (μB).
Fractional coordinates of all 9 atoms:
Bi 0.517 0.292 0.034  -0.09
Pu 0.119 0.608 0.238  5.53
Mg 0.329 0.994 0.660  0.00
Mg 0.671 0.006 0.340  0.00
Bi 0.221 0.262 0.442  -0.13
Pu 0.881 0.392 0.762  5.53
Pu 0.000 0.000 0.000  5.40
Bi 0.483 0.708 0.966  -0.09
Bi 0.779 0.738 0.558  -0.13

## Properties
* crystal system: triclinic
* E: -7.1707 eV/atom
* energy of formation: -273 kJ/mol of formula units

No. 14
Computed, not measured: SmDy5Pb4 after structural relaxation at the PBE level of DFT.

a b c (Å): 4.558 8.021 9.315
angles (deg): 102.19 104.16 90.00
Each line ends with the local moment (μB).
Fractional coordinates of all 10 atoms:
Dy 0.860 0.274 0.721  0.05
Dy 0.500 0.500 0.000  -0.04
Pb 0.038 0.281 0.077  0.00
Dy 0.209 0.314 0.417  0.13
Sm 0.500 0.000 0.000  -0.01
Dy 0.791 0.686 0.583  0.13
Dy 0.140 0.726 0.279  0.05
Pb 0.962 0.719 0.923  0.00
Pb 0.315 0.984 0.630  0.00
Pb 0.685 0.016 0.370  0.00

## Properties
* crystal system: monoclinic
* E: -4.4958 eV/atom
* energy of formation: -231 kJ/mol of formula units

No. 15
Computed, not measured: La3PtPb after structural relaxation at the PBE level of DFT.

a b c (Å): 4.839 8.502 15.465
angles (deg): 90.00 90.00 90.00
Fractional coordinates of all 20 atoms:
La 0.750 0.819 0.220
La 0.250 0.862 0.988
La 0.750 0.138 0.012
La 0.750 0.524 0.896
La 0.750 0.319 0.280
La 0.250 0.681 0.720
La 0.750 0.638 0.488
La 0.250 0.181 0.780
Pt 0.250 0.819 0.558
Pb 0.250 0.592 0.322
Pt 0.750 0.181 0.442
La 0.750 0.024 0.604
La 0.250 0.476 0.104
Pb 0.250 0.092 0.178
Pb 0.750 0.408 0.678
Pb 0.750 0.908 0.822
Pt 0.750 0.681 0.058
La 0.250 0.362 0.512
Pt 0.250 0.319 0.942
La 0.250 0.976 0.396

## Properties
* crystal system: orthorhombic
* E: -5.7006 eV/atom
* relative energy among the computed polymorphs: 0 meV per atom
* energy of formation: -383 kJ/mol of formula units

No. 16
Computed, not measured: Zr2Sc after structural relaxation at the PBE level of DFT.

a b c (Å): 3.208 3.208 7.894
angles (deg): 90.00 90.00 120.00
Fractional coordinates of all 3 atoms:
Sc 0.000 0.000 0.000
Zr 0.333 0.667 0.336
Zr 0.667 0.333 0.664

## Properties
* crystal system: trigonal
* E: -7.7675 eV/atom
* energy of formation: 12 kJ/mol of formula units

No. 17
Computed, not measured: CaCuRh2 after structural relaxation at the PBE level of DFT.

a b c (Å): 4.504 4.504 4.504
angles (deg): 60.00 60.00 60.00
Fractional coordinates of all 4 atoms:
Ca 0.000 0.000 0.000
Rh 0.750 0.750 0.750
Rh 0.250 0.250 0.250
Cu 0.500 0.500 0.500

## Properties
* crystal system: cubic
* E: -5.1529 eV/atom
* relative energy among the computed polymorphs: 90 meV per atom
* energy of formation: 18 kJ/mol of formula units

No. 18
Computed, not measured: AlCd3P after structural relaxation at the PBE level of DFT.

a b c (Å): 5.187 5.187 5.187
angles (deg): 90.00 90.00 90.00
Each line ends with the local moment (μB).
Fractional coordinates of all 5 atoms:
Cd 0.000 0.000 0.500  0.02
Cd 0.000 0.500 0.000  0.05
P 0.500 0.500 0.500  0.71
Al 0.000 0.000 0.000  0.05
Cd 0.500 0.000 0.000  0.04

## Properties
* crystal system: cubic
* E: -1.6406 eV/atom
* relative energy among the computed polymorphs: 250 meV per atom
* energy of formation: 357 kJ/mol of formula units

| no. | size of the total moment (Bohr magnetons per cell) |
| --- | --- |
| 1 | 0.00 |
| 2 | 2.01 |
| 3 | 0.00 |
| 4 | 0.00 |
| 5 | 2.97 |
| 6 | 0.00 |
| 7 | 0.00 |
| 8 | 0.00 |
| 9 | 0.00 |
| 10 | 0.00 |
| 11 | 0.00 |
| 12 | 0.00 |
| 13 | 17.07 |
| 14 | 0.48 |
| 15 | 0.00 |
| 16 | 0.00 |
| 17 | 0.00 |
| 18 | 1.97 |